# 1
A plane-wave DFT calculation with PBE was carried out for Cs4K3MgH8 after structural relaxation.

The value obtained for the total magnetization is 0.00 μB per formula unit. The value obtained for the total energy is -2.287 eV per atom.

The space group is C2/m (No. 12) and the conventional cell measures 14.0177, 8.0961 and 8.2959 Å, with angles of 90.00, 124.32 and 90.00 degrees. Symmetry generates all atoms from Cs at (0.0000, 0.0000, 0.0000), Cs at (0.0000, 0.5000, 0.0000), Cs at (0.2500, 0.2500, 0.0000), K at (0.0000, 0.0000, 0.5000), K at (0.2500, 0.2500, 0.5000), Mg at (0.0000, 0.5000, 0.5000), H at (0.0057, 0.3071, 0.3239), H at (0.1883, 0.5000, 0.6768) and H at (0.2361, 0.0000, 0.7085).

# 2
A plane-wave DFT calculation with PBE was carried out for Ca3La5Te8 after structural relaxation.

For the raw formation energy, the calculation gives -152.8 kJ per mole of atoms. The value obtained for the total magnetization is 0.00 μB per formula unit.

The space group is R-3m (No. 166, hexagonal axes) and the conventional cell measures 9.0802, 9.0802 and 22.4926 Å, with angles of 90.00, 90.00 and 120.00 degrees. Symmetry generates all atoms from Ca at (0.0000, 0.5000, 0.0000), La at (0.0000, 0.0000, 0.0000), La at (0.0000, 0.0000, 0.5000), La at (0.0000, 0.5000, 0.5000), Te at (0.0000, 0.0000, 0.2532) and Te at (0.0047, 0.5023, 0.2523).

# 3
A plane-wave DFT calculation with PBE was carried out for RbUBr6 after structural relaxation.

For the raw formation energy, the calculation gives -132.8 kJ per mole of atoms. The value obtained for the total magnetization is 1.00 μB per formula unit. The value obtained for the energy above the most stable polymorph in this dataset is 24.5 meV per atom.

The space group is R-3m (No. 166, hexagonal axes) and the conventional cell measures 7.6553, 7.6553 and 20.9972 Å, with angles of 90.00, 90.00 and 120.00 degrees. Symmetry generates all atoms from Rb at (0.0000, 0.0000, 0.0000), U at (0.0000, 0.0000, 0.5000) and Br at (0.0025, 0.5013, 0.0919).

# 4
A plane-wave DFT calculation with PBE was carried out for Y5Cd4Pt after structural relaxation.

The value obtained for the total magnetization is 0.00 μB per formula unit. The value obtained for the formation energy from the elements is -50.7 kJ/mol of atoms.

The space group is P4/mmm (No. 123) and the conventional cell measures 3.6798, 3.6798 and 18.6516 Å, with angles of 90.00, 90.00 and 90.00 degrees. Symmetry generates all atoms from Y at (0.0000, 0.0000, 0.0000), Y at (0.0000, 0.0000, 0.2062), Y at (0.0000, 0.0000, 0.4129), Cd at (0.5000, 0.5000, 0.1029), Cd at (0.5000, 0.5000, 0.3063) and Pt at (0.5000, 0.5000, 0.5000).

# 5
A plane-wave DFT calculation with PBE was carried out for K2NaHgCl after structural relaxation.

For the raw formation energy, the calculation gives -34.0 kJ per mole of atoms. The value obtained for the total magnetization is 0.00 μB per formula unit. The value obtained for the energy above the most stable polymorph in this dataset is 359.4 meV per atom.

The space group is P4/mmm (No. 123) and the conventional cell measures 6.6297, 6.6297 and 6.1361 Å, with angles of 90.00, 90.00 and 90.00 degrees. Symmetry generates all atoms from K at (0.0000, 0.5000, 0.0000), Na at (0.0000, 0.0000, 0.5000), Hg at (0.5000, 0.5000, 0.0000) and Cl at (0.5000, 0.5000, 0.5000).

# 6
A plane-wave DFT calculation with PBE was carried out for Ba2Ga2AgS6 after structural relaxation.

For the raw formation energy, the calculation gives -86.4 kJ per mole of atoms. The value obtained for the total magnetization is 0.00 μB per formula unit.

The space group is R-3m (No. 166, hexagonal axes) and the conventional cell measures 7.0412, 7.0412 and 21.1912 Å, with angles of 90.00, 90.00 and 120.00 degrees. Symmetry generates all atoms from Ba at (0.0000, 0.0000, 0.2167), Ga at (0.0000, 0.0000, 0.4214), Ag at (0.0000, 0.0000, 0.0000) and S at (0.0252, 0.5126, 0.7558).

# 7
A plane-wave DFT calculation with PBE was carried out for Sr2Cd3Rh after structural relaxation.

The value obtained for the total magnetization is 0.00 μB per formula unit. The value obtained for the formation energy from the elements is -27.1 kJ/mol of atoms.

The space group is C2/m (No. 12) and the conventional cell measures 10.3223, 6.0271 and 5.9714 Å, with angles of 90.00, 125.30 and 90.00 degrees. Symmetry generates all atoms from Sr at (0.1289, 0.0000, 0.3844), Cd at (0.0000, 0.5000, 0.0000), Cd at (0.2500, 0.2500, 0.0000) and Rh at (0.0000, 0.5000, 0.5000).

# 8
A plane-wave DFT calculation with PBE was carried out for KIrOF2 after structural relaxation.

For the raw formation energy, the calculation gives -135.1 kJ per mole of atoms. The value obtained for the total magnetization is 0.00 μB per formula unit. The value obtained for the energy above the most stable polymorph in this dataset is 0.0 meV per atom.

The space group is P4/mmm (No. 123) and the conventional cell measures 4.5293, 4.5293 and 3.7632 Å, with angles of 90.00, 90.00 and 90.00 degrees. Symmetry generates all atoms from K at (0.0000, 0.0000, 0.0000), Ir at (0.5000, 0.5000, 0.5000), O at (0.5000, 0.5000, 0.0000) and F at (0.0000, 0.5000, 0.5000).

- Look up the total magnetization of the third one.
  1.00 μB per formula unit